[1]
Material: Cu3Ag2
Method: DFT, GGA-PBE
State: relaxed

Symmetry: No. 12
Calculated density in g/cm³: 9.45
Relative energy among the computed polymorphs in meV per atom: 38
ΔE_f in meV per atom: 80

Unit cell a=4.8437 b=4.8437 c=11.0192 alpha=96.99 beta=96.99 gamma=33.84
Sites, in units of the cell vectors:
Ag (0.7972, 0.7972, 0.1099)
Ag (0.0823, 0.0823, 0.2198)
Ag (0.9177, 0.9177, 0.7802)
Ag (0.2028, 0.2028, 0.8901)
Cu (0.5000, 0.5000, 0.0000)
Cu (0.3787, 0.3787, 0.3274)
Cu (0.6903, 0.6903, 0.4168)
Cu (0.0000, 0.0000, 0.5000)
Cu (0.3097, 0.3097, 0.5832)
Cu (0.6213, 0.6213, 0.6726)

---

[2]
Material: Cu3Ag7
Method: DFT, GGA-PBE
State: relaxed

Symmetry: No. 8
Calculated density in g/cm³: 9.66
Relative energy among the computed polymorphs in meV per atom: 44
ΔE_f in meV per atom: 72

Unit cell a=7.6340 b=7.6340 c=7.7855 alpha=104.80 beta=104.80 gamma=21.78
Sites, in units of the cell vectors:
Ag (0.1921, 0.1921, 0.1092)
Ag (0.4094, 0.4094, 0.2029)
Ag (0.8044, 0.8044, 0.4006)
Ag (0.1929, 0.1929, 0.5831)
Ag (0.4061, 0.4061, 0.7053)
Ag (0.5953, 0.5953, 0.7973)
Ag (0.7994, 0.7994, 0.9015)
Cu (0.0039, 0.0039, 0.0111)
Cu (0.5922, 0.5922, 0.2962)
Cu (0.0044, 0.0044, 0.4927)

---

[3]
Material: Cu3Ag7
Method: DFT, GGA-PBE
State: relaxed

Symmetry: No. 6
Calculated density in g/cm³: 9.65
Relative energy among the computed polymorphs in meV per atom: 44
ΔE_f in meV per atom: 73

Unit cell a=6.9876 b=2.8813 c=8.2996 alpha=90.00 beta=103.11 gamma=90.00
Sites, in units of the cell vectors:
Ag (0.7039, 0.5000, 0.1030)
Ag (0.4056, 0.0000, 0.2194)
Ag (0.0829, 0.5000, 0.2909)
Ag (0.2153, 0.0000, 0.5898)
Ag (0.9031, 0.5000, 0.6929)
Ag (0.5986, 0.0000, 0.7944)
Ag (0.2874, 0.5000, 0.9093)
Cu (0.7899, 0.0000, 0.4040)
Cu (0.5217, 0.5000, 0.5011)
Cu (0.9917, 0.0000, 0.9952)

---

[4]
Material: CuAg
Method: DFT, GGA-PBE
State: relaxed

Symmetry: No. 6
Calculated density in g/cm³: 9.53
ΔE_f in meV per atom: 89

Unit cell a=5.6879 b=2.8271 c=7.9515 alpha=90.00 beta=110.89 gamma=90.00
Sites, in units of the cell vectors:
Ag (0.3579, 0.0000, 0.2266)
Ag (0.8817, 0.0000, 0.2496)
Ag (0.7405, 0.5000, 0.5126)
Ag (0.1446, 0.0000, 0.7641)
Cu (0.2651, 0.5000, 0.5105)
Cu (0.6199, 0.0000, 0.7603)
Cu (0.9688, 0.5000, 0.9824)
Cu (0.5215, 0.5000, 0.9939)

---

[5]
Material: CuAg
Method: DFT, GGA-PBE
State: relaxed

Symmetry: No. 2
Calculated density in g/cm³: 9.53
ΔE_f in meV per atom: 85

Unit cell a=4.9153 b=5.6512 c=5.8527 alpha=76.08 beta=78.09 gamma=73.16
Sites, in units of the cell vectors:
Ag (0.5000, 0.0000, 0.0000)
Ag (0.9186, 0.5892, 0.2193)
Ag (0.9106, 0.0916, 0.2337)
Ag (0.0894, 0.9084, 0.7663)
Ag (0.0814, 0.4108, 0.7807)
Cu (0.5000, 0.5000, 0.0000)
Cu (0.3351, 0.6823, 0.3885)
Cu (0.3375, 0.2031, 0.3946)
Cu (0.6625, 0.7969, 0.6054)
Cu (0.6649, 0.3177, 0.6115)

---

[6]
Material: Cu7Ag2
Method: DFT, GGA-PBE
State: relaxed

Symmetry: No. 12
Calculated density in g/cm³: 9.18
Relative energy among the computed polymorphs in meV per atom: 21
ΔE_f in meV per atom: 67

Unit cell a=5.9621 b=5.9621 c=5.8975 alpha=107.55 beta=107.55 gamma=36.98
Sites, in units of the cell vectors:
Ag (0.8392, 0.8392, 0.4997)
Ag (0.1608, 0.1608, 0.5003)
Cu (0.2779, 0.2779, 0.1510)
Cu (0.9416, 0.9416, 0.1511)
Cu (0.6064, 0.6064, 0.1535)
Cu (0.5000, 0.5000, 0.5000)
Cu (0.3936, 0.3936, 0.8465)
Cu (0.0584, 0.0584, 0.8489)
Cu (0.7221, 0.7221, 0.8490)